# 1
Computed, not measured: Ba3In4Hg4 after structural relaxation at the PBE-GGA level of DFT.

Crystal system: orthorhombic
ΔE to the lowest computed polymorph, meV/atom: 28
E, eV per atom: -2.0167

Structure (POSCAR):
```
Ba3In4Hg4
1.0
-2.491 4.112 8.542
2.491 -4.112 8.542
2.491 4.112 -8.542
Ba In Hg
3 4 4
direct
0.000 0.000 0.000
0.368 0.868 0.500
0.632 0.132 0.500
0.024 0.334 0.690
0.356 0.666 0.690
0.644 0.334 0.310
0.976 0.666 0.310
0.216 0.216 0.000
0.317 0.500 0.817
0.683 0.500 0.183
0.784 0.784 0.000
```

# 2
Computed, not measured: Ba3InHg10 after structural relaxation at the PBE-GGA level of DFT.

Crystal system: orthorhombic
E, eV per atom: -1.2138

Structure (POSCAR):
```
Ba3InHg10
1.0
-2.678 5.067 7.711
2.678 -5.067 7.711
2.678 5.067 -7.711
Ba In Hg
3 1 10
direct
0.000 0.000 0.000
0.297 0.297 0.000
0.703 0.703 0.000
0.500 0.000 0.500
0.016 0.661 0.355
0.146 0.859 0.287
0.306 0.661 0.645
0.321 0.500 0.821
0.429 0.141 0.287
0.571 0.859 0.713
0.679 0.500 0.179
0.694 0.339 0.355
0.854 0.141 0.713
0.984 0.339 0.645
```

# 3
Computed, not measured: BaIn3Hg after structural relaxation at the PBE-GGA level of DFT.

Crystal system: orthorhombic
E, eV per atom: -2.4662

Structure (POSCAR):
```
BaIn3Hg
1.0
0.000 3.518 6.186
3.501 0.000 6.186
3.501 3.518 0.000
Ba In Hg
1 3 1
direct
0.000 0.000 0.000
0.245 0.245 0.255
0.383 0.383 0.617
0.745 0.745 0.755
0.611 0.611 0.389
```

# 4
Computed, not measured: Ba5InHg4 after structural relaxation at the PBE-GGA level of DFT.

Crystal system: tetragonal
E, eV per atom: -1.8590

Structure (POSCAR):
```
Ba5InHg4
1.0
4.227 0.000 0.000
0.000 4.227 0.000
0.000 0.000 21.061
Ba In Hg
5 1 4
direct
0.000 0.000 0.000
0.000 0.000 0.199
0.000 0.000 0.398
0.000 0.000 0.602
0.000 0.000 0.801
0.500 0.500 0.500
0.500 0.500 0.099
0.500 0.500 0.299
0.500 0.500 0.701
0.500 0.500 0.901
```

# 5
Computed, not measured: BaIn6Hg after structural relaxation at the PBE-GGA level of DFT.

Crystal system: tetragonal
E, eV per atom: -2.5424

Structure (POSCAR):
```
BaIn6Hg
1.0
5.208 0.000 0.000
0.000 5.208 0.000
0.000 0.000 8.872
Ba In Hg
1 6 1
direct
0.000 0.000 0.000
0.000 0.500 0.325
0.000 0.500 0.675
0.500 0.000 0.325
0.500 0.000 0.675
0.500 0.500 0.160
0.500 0.500 0.840
0.000 0.000 0.500
```

# 6
Computed, not measured: BaIn2Hg after structural relaxation at the PBE-GGA level of DFT.

Crystal system: orthorhombic
E, eV per atom: -2.2179

Structure (POSCAR):
```
BaIn2Hg
1.0
3.924 0.000 0.000
0.000 4.015 0.000
0.000 0.000 7.919
Ba In Hg
1 2 1
direct
0.000 0.000 0.000
0.000 0.000 0.489
0.500 0.500 0.691
0.500 0.500 0.277
```

# 7
Computed, not measured: Ba2In7Hg after structural relaxation at the PBE-GGA level of DFT.

Crystal system: tetragonal
E, eV per atom: -2.6916

Structure (POSCAR):
```
Ba2In7Hg
1.0
5.012 0.000 0.000
0.000 5.012 0.000
0.000 0.000 12.306
Ba In Hg
2 7 1
direct
0.000 0.500 0.245
0.500 0.000 0.755
0.000 0.000 0.000
0.000 0.000 0.500
0.000 0.500 0.637
0.000 0.500 0.870
0.500 0.000 0.130
0.500 0.000 0.363
0.500 0.500 0.500
0.500 0.500 0.000
```

# 8
Computed, not measured: BaInHg2 after structural relaxation at the PBE-GGA level of DFT.

Crystal system: monoclinic
E, eV per atom: -1.6142

Structure (POSCAR):
```
BaInHg2
1.0
4.131 0.000 0.000
0.000 4.562 0.000
-1.823 0.000 6.892
Ba In Hg
1 1 2
direct
0.000 0.000 0.000
0.392 0.500 0.658
0.589 0.500 0.249
0.925 0.000 0.499
```

# 9
Computed, not measured: Ba6InHg3 after structural relaxation at the PBE-GGA level of DFT.

Crystal system: monoclinic
E, eV per atom: -1.8976

Structure (POSCAR):
```
Ba6InHg3
1.0
10.813 0.000 0.000
0.000 5.852 0.000
-3.739 0.000 13.480
Ba In Hg
12 2 6
direct
0.032 0.250 0.128
0.125 0.250 0.699
0.227 0.750 0.516
0.355 0.750 0.104
0.370 0.250 0.366
0.390 0.750 0.831
0.610 0.250 0.169
0.630 0.750 0.634
0.645 0.250 0.896
0.773 0.250 0.484
0.875 0.750 0.301
0.968 0.750 0.872
0.435 0.250 0.651
0.565 0.750 0.349
0.050 0.250 0.390
0.175 0.750 0.262
0.305 0.250 0.958
0.695 0.750 0.042
0.825 0.250 0.738
0.950 0.750 0.610
```

# 10
Computed, not measured: BaIn6Hg2 after structural relaxation at the PBE-GGA level of DFT.

Crystal system: monoclinic
ΔE to the lowest computed polymorph, meV/atom: 62
E, eV per atom: -2.2148

Structure (POSCAR):
```
BaIn6Hg2
1.0
7.658 -4.742 0.000
7.658 4.742 0.000
-0.874 0.000 3.626
Ba In Hg
1 6 2
direct
0.000 0.000 0.000
0.015 0.357 0.688
0.334 0.666 0.500
0.357 0.015 0.688
0.643 0.985 0.312
0.666 0.334 0.500
0.985 0.643 0.312
0.361 0.361 0.857
0.639 0.639 0.143
```

> Which of these has the highest E?

Ba3InHg10

> Number 10 is which compound?

BaIn6Hg2

> Which of these has the lowest E?

Ba2In7Hg